(1)
# Rb2NaMnO4 (PBEsol, relaxed)
# Magnetization: 0.25 μB per atom
# Volume: 275.5 Å³/cell
# Raw formation energy: -1313.0 kJ/mol of formula units
data_Rb2NaMnO4
_chemical_formula_sum 'Rb4 Na2 Mn2 O8'
_cell_length_a 5.945
_cell_length_b 5.946
_cell_length_c 7.801
_cell_angle_alpha 90.00
_cell_angle_beta 92.71
_cell_angle_gamma 90.00
_symmetry_space_group_name_H-M 'P 1'
_symmetry_Int_Tables_number 1
loop_
_symmetry_equiv_pos_as_xyz
'x,y,z'
loop_
_atom_site_label
_atom_site_type_symbol
_atom_site_fract_x
_atom_site_fract_y
_atom_site_fract_z
Rb1 Rb 0.886 0.750 0.829
Rb2 Rb 0.114 0.250 0.171
Rb3 Rb 0.693 0.250 0.484
Rb4 Rb 0.307 0.750 0.516
Na1 Na 0.387 0.750 0.035
Na2 Na 0.613 0.250 0.965
Mn1 Mn 0.193 0.250 0.742
Mn2 Mn 0.807 0.750 0.258
O1 O 0.670 0.521 0.173
O2 O 0.330 0.021 0.827
O3 O 0.330 0.479 0.827
O4 O 0.670 0.979 0.173
O5 O 0.799 0.750 0.473
O6 O 0.075 0.750 0.193
O7 O 0.201 0.250 0.527
O8 O 0.925 0.250 0.807


(2)
# Si2AgSb (PBEsol, relaxed)
# Magnetization: 0.00 μB per atom
# Volume: 74.8 Å³/cell
# D(E_F): 1.69 states/eV/f.u.
# Raw formation energy: 156.5 kJ/mol of formula units
data_Si2AgSb
_chemical_formula_sum 'Si2 Ag1 Sb1'
_cell_length_a 3.138
_cell_length_b 3.792
_cell_length_c 6.288
_cell_angle_alpha 90.00
_cell_angle_beta 90.00
_cell_angle_gamma 90.00
_symmetry_space_group_name_H-M 'P 1'
_symmetry_Int_Tables_number 1
loop_
_symmetry_equiv_pos_as_xyz
'x,y,z'
loop_
_atom_site_label
_atom_site_type_symbol
_atom_site_fract_x
_atom_site_fract_y
_atom_site_fract_z
Sb1 Sb 0.500 0.500 0.500
Si1 Si 0.000 0.000 0.799
Si2 Si 0.000 0.000 0.201
Ag1 Ag 0.500 0.500 0.000


(3)
# Na4CrH8SO7 (PBEsol, relaxed)
# Magnetization: 0.14 μB per atom
# Volume: 827.7 Å³/cell
# E_tot: -440.44 eV per cell
data_Na4CrH8SO7
_chemical_formula_sum 'Na16 Cr4 H32 S4 O28'
_cell_length_a 5.740
_cell_length_b 11.054
_cell_length_c 13.428
_cell_angle_alpha 90.00
_cell_angle_beta 90.00
_cell_angle_gamma 103.72
_symmetry_space_group_name_H-M 'P 1'
_symmetry_Int_Tables_number 1
loop_
_symmetry_equiv_pos_as_xyz
'x,y,z'
loop_
_atom_site_label
_atom_site_type_symbol
_atom_site_fract_x
_atom_site_fract_y
_atom_site_fract_z
Na1 Na 0.012 0.767 0.319
Na2 Na 0.251 0.992 0.943
Na3 Na 0.248 0.968 0.701
Na4 Na 0.012 0.267 0.181
Na5 Na 0.251 0.492 0.557
Na6 Na 0.248 0.468 0.799
Na7 Na 0.507 0.784 0.209
Na8 Na 0.493 0.716 0.709
Na9 Na 0.507 0.284 0.291
Na10 Na 0.493 0.216 0.791
Na11 Na 0.752 0.532 0.201
Na12 Na 0.749 0.508 0.443
Na13 Na 0.988 0.733 0.819
Na14 Na 0.752 0.032 0.299
Na15 Na 0.749 0.008 0.057
Na16 Na 0.988 0.233 0.681
Cr1 Cr 0.249 0.521 0.314
Cr2 Cr 0.249 0.021 0.186
Cr3 Cr 0.751 0.979 0.814
Cr4 Cr 0.751 0.479 0.686
H1 H 0.085 0.657 0.640
H2 H 0.204 0.850 0.529
H3 H 0.233 0.826 0.081
H4 H 0.161 0.616 0.146
H5 H 0.311 0.965 0.361
H6 H 0.251 0.682 0.460
H7 H 0.436 0.812 0.882
H8 H 0.085 0.157 0.860
H9 H 0.204 0.350 0.971
H10 H 0.233 0.326 0.419
H11 H 0.161 0.116 0.354
H12 H 0.494 0.867 0.532
H13 H 0.311 0.465 0.139
H14 H 0.251 0.182 0.040
H15 H 0.506 0.633 0.032
H16 H 0.564 0.688 0.382
H17 H 0.436 0.312 0.618
H18 H 0.494 0.367 0.968
H19 H 0.749 0.818 0.960
H20 H 0.689 0.535 0.861
H21 H 0.506 0.133 0.468
H22 H 0.839 0.884 0.646
H23 H 0.767 0.674 0.581
H24 H 0.796 0.650 0.029
H25 H 0.915 0.843 0.140
H26 H 0.564 0.188 0.118
H27 H 0.749 0.318 0.540
H28 H 0.689 0.035 0.639
H29 H 0.839 0.384 0.854
H30 H 0.767 0.174 0.919
H31 H 0.796 0.150 0.471
H32 H 0.915 0.343 0.360
S1 S 0.111 0.590 0.986
S2 S 0.111 0.090 0.514
S3 S 0.889 0.910 0.486
S4 S 0.889 0.410 0.014
O1 O 0.082 0.594 0.691
O2 O 0.139 0.617 0.422
O3 O 0.147 0.634 0.218
O4 O 0.358 0.931 0.299
O5 O 0.354 0.904 0.092
O6 O 0.340 0.822 0.563
O7 O 0.417 0.864 0.825
O8 O 0.082 0.094 0.809
O9 O 0.139 0.117 0.078
O10 O 0.147 0.134 0.282
O11 O 0.358 0.431 0.201
O12 O 0.354 0.404 0.408
O13 O 0.340 0.322 0.937
O14 O 0.417 0.364 0.675
O15 O 0.583 0.636 0.325
O16 O 0.660 0.678 0.063
O17 O 0.646 0.596 0.592
O18 O 0.642 0.569 0.799
O19 O 0.853 0.866 0.718
O20 O 0.861 0.883 0.922
O21 O 0.918 0.906 0.191
O22 O 0.583 0.136 0.175
O23 O 0.660 0.178 0.437
O24 O 0.646 0.096 0.908
O25 O 0.642 0.069 0.701
O26 O 0.853 0.366 0.782
O27 O 0.861 0.383 0.578
O28 O 0.918 0.406 0.309


(4)
# U2Co3Si (PBEsol, relaxed)
# Magnetization: 0.06 μB per atom
# Volume: 162.8 Å³/cell
# D(E_F): 8.86 states/eV/f.u.
# Raw formation energy: -300.6 kJ/mol of formula units
data_U2Co3Si
_chemical_formula_sum 'U4 Co6 Si2'
_cell_length_a 5.028
_cell_length_b 5.028
_cell_length_c 7.436
_cell_angle_alpha 90.00
_cell_angle_beta 90.00
_cell_angle_gamma 120.00
_symmetry_space_group_name_H-M 'P 1'
_symmetry_Int_Tables_number 1
loop_
_symmetry_equiv_pos_as_xyz
'x,y,z'
loop_
_atom_site_label
_atom_site_type_symbol
_atom_site_fract_x
_atom_site_fract_y
_atom_site_fract_z
Co1 Co 0.833 0.167 0.750
Co2 Co 0.666 0.833 0.250
Co3 Co 0.167 0.833 0.250
Co4 Co 0.833 0.666 0.750
Co5 Co 0.167 0.334 0.250
Co6 Co 0.334 0.167 0.750
Si1 Si 0.000 0.000 0.500
Si2 Si 0.000 0.000 0.000
U1 U 0.333 0.667 0.571
U2 U 0.667 0.333 0.429
U3 U 0.667 0.333 0.071
U4 U 0.333 0.667 0.929


(5)
# WAuBr2 (PBEsol, relaxed)
# Distance to the lowest polymorph of the same formula: 954 meV per atom
# Magnetization: 0.75 μB per atom
# Volume: 78.0 Å³/cell
# D(E_F): 2.06 states/eV/f.u.
# Raw formation energy: 481.7 kJ/mol of formula units
data_WAuBr2
_chemical_formula_sum 'W1 Au1 Br2'
_cell_length_a 3.940
_cell_length_b 4.448
_cell_length_c 4.448
_cell_angle_alpha 90.00
_cell_angle_beta 90.00
_cell_angle_gamma 90.00
_symmetry_space_group_name_H-M 'P 1'
_symmetry_Int_Tables_number 1
loop_
_symmetry_equiv_pos_as_xyz
'x,y,z'
loop_
_atom_site_label
_atom_site_type_symbol
_atom_site_fract_x
_atom_site_fract_y
_atom_site_fract_z
Au1 Au 0.500 0.000 0.000
Br1 Br 0.000 0.000 0.500
Br2 Br 0.000 0.500 0.000
W1 W 0.500 0.500 0.500


(6)
# LiZn4Hg (PBEsol, relaxed)
# Magnetization: 0.00 μB per atom
# Calculated formation energy: -97 meV per atom
# Volume: 92.9 Å³/cell
# D(E_F): 2.42 states/eV/f.u.
data_LiZn4Hg
_chemical_formula_sum 'Li1 Zn4 Hg1'
_cell_length_a 5.084
_cell_length_b 5.084
_cell_length_c 5.084
_cell_angle_alpha 60.00
_cell_angle_beta 60.00
_cell_angle_gamma 60.00
_symmetry_space_group_name_H-M 'P 1'
_symmetry_Int_Tables_number 1
loop_
_symmetry_equiv_pos_as_xyz
'x,y,z'
loop_
_atom_site_label
_atom_site_type_symbol
_atom_site_fract_x
_atom_site_fract_y
_atom_site_fract_z
Zn1 Zn 0.375 0.375 0.375
Zn2 Zn 0.375 0.375 0.876
Zn3 Zn 0.876 0.375 0.375
Zn4 Zn 0.375 0.876 0.375
Hg1 Hg 0.750 0.750 0.750
Li1 Li 0.000 0.000 0.000